# Tm3US6, optimized geometry, DFT PBE
# uncorrected formation energy	-1.898	eV per atom
# magnetic moment	5.69	μB/cell
# crystal system	monoclinic
data_Tm3US6
_chemical_formula_sum 'Tm6 U2 S12'
_cell_length_a 10.952
_cell_length_b 3.886
_cell_length_c 11.166
_cell_angle_alpha 90.00
_cell_angle_beta 108.62
_cell_angle_gamma 90.00
_symmetry_space_group_name_H-M 'P 1'
_symmetry_Int_Tables_number 1
loop_
_symmetry_equiv_pos_as_xyz
'x,y,z'
loop_
_atom_site_label
_atom_site_fract_x
_atom_site_fract_y
_atom_site_fract_z
Tm1 0.066 0.250 0.166
Tm2 0.179 0.750 0.501
Tm3 0.340 0.250 0.916
Tm4 0.660 0.750 0.084
Tm5 0.821 0.250 0.499
Tm6 0.934 0.750 0.834
U1 0.453 0.250 0.307
U2 0.547 0.750 0.693
S1 0.021 0.250 0.386
S2 0.104 0.250 0.938
S3 0.242 0.750 0.275
S4 0.306 0.750 0.749
S5 0.385 0.250 0.537
S6 0.418 0.750 0.097
S7 0.582 0.250 0.903
S8 0.615 0.750 0.463
S9 0.694 0.250 0.251
S10 0.758 0.250 0.725
S11 0.896 0.750 0.062
S12 0.979 0.750 0.614